# As8H

As8H after structural relaxation (PBE, Alexandria).

```
As8H
1.0
-3.2966 1.9523 -6.6498
-3.9958 -1.5955 5.9671
-1.5120 5.4977 -2.0537
As H
8 1
direct
0.7583 0.2997 0.5316
0.1810 0.3397 0.7277
0.4413 0.9701 0.8378
0.9106 0.9577 0.8879
0.8834 0.4916 0.8685
0.2369 0.8153 0.5645
0.7635 0.8157 0.5649
0.4909 0.4923 0.8688
0.3341 0.3178 0.3983
```

- Volume: 226 Å³/f.u.
- Total magnetization: 0.00 μB/f.u.
- E_tot: -4.406 eV/atom
- SG: P1, No. 1

---

# HfAsH

HfAsH after structural relaxation (PBE, Alexandria).

```
HfAsH
1.0
-3.4526 0.8229 0.4318
-1.0690 -1.3657 -5.9454
-1.4422 -7.0347 1.8753
H Hf As
4 4 4
direct
0.7500 0.0834 0.2499
0.7500 0.4166 0.7499
0.2500 0.5834 0.2501
0.2500 0.9166 0.7501
0.7500 0.4167 0.2502
0.7500 0.0833 0.7502
0.2500 0.9167 0.2498
0.2500 0.5833 0.7498
0.2500 0.2498 0.5000
0.7500 0.7498 0.0000
0.2500 0.2502 0.0000
0.7500 0.7502 0.5000
```

- Volume: 41 Å³/f.u.
- Total magnetization: 0.00 μB/f.u.
- E_tot: -6.737 eV/atom
- Distance to the lowest polymorph of the same formula: 2.81 kcal/mol of atoms
- SG: P6_3/mmc, No. 194

---

# Hf3As2H

Hf3As2H after structural relaxation (PBE, Alexandria).

```
Hf3As2H
1.0
6.7225 0.0000 0.0000
0.0000 6.5657 -1.0988
0.0000 -3.7415 5.5061
As Hf H
4 6 2
direct
0.6967 0.5164 0.2186
0.1967 0.4836 0.7814
0.6967 0.2186 0.5164
0.1967 0.7814 0.4836
0.3937 0.3602 0.3602
0.8937 0.6398 0.6398
0.0470 0.2668 0.9734
0.0470 0.9734 0.2668
0.5470 0.0266 0.7332
0.5470 0.7332 0.0266
0.6867 0.9128 0.9128
0.1867 0.0872 0.0872
```

- Volume: 108 Å³/f.u.
- Total magnetization: 0.00 μB/f.u.
- E_tot: -7.697 eV/atom
- SG: Cmc2_1, No. 36